## Zr3Cu2Hg3 (PBE-GGA)

Data for an optimized crystal structure of Zr3Cu2Hg3.

Cell lengths 3.4275, 7.2936, 7.2936 Å; angles 120.00, 90.00, 90.00 degrees
Last column: nearest neighbours and their distance in Å.
Fractional coordinates of all 8 atoms:
Zr (0.5000, 0.4095, 0.4095)  4 Cu 2.79, 6 Hg 3.05-3.12
Zr (0.5000, 0.5905, 0.0000)  4 Cu 2.79, 6 Hg 3.05-3.12
Zr (0.5000, 0.0000, 0.5905)  4 Cu 2.79, 6 Hg 3.05-3.12
Cu (0.0000, 0.3333, 0.6667)  6 Zr 2.79, 3 Hg 2.81
Cu (0.0000, 0.6667, 0.3333)  6 Zr 2.79, 3 Hg 2.81
Hg (0.0000, 0.7557, 0.7557)  2 Cu 2.81, 6 Zr 3.05-3.12, 2 Hg 3.09
Hg (0.0000, 0.2443, 0.0000)  2 Cu 2.81, 6 Zr 3.05-3.12, 2 Hg 3.09
Hg (0.0000, 0.0000, 0.2443)  2 Cu 2.81, 6 Zr 3.05-3.12, 2 Hg 3.09

The total energy comes out at -4.46 eV per atom. The value obtained for the density of states at the Fermi level is 8.41 states/eV/cell. As for the crystal system: hexagonal. As for the formation energy: -0.12 eV per atom.


## PrNd2Dy (PBE-GGA)

Data for an optimized crystal structure of PrNd2Dy.

Cell lengths 3.5664, 3.5664, 12.8361 Å; angles 82.01, 82.01, 60.00 degrees
Last column: nearest neighbours and their distance in Å.
Fractional coordinates of all 4 atoms:
Pr (0.5000, 0.5000, 0.5000)  6 Pr 3.57, 6 Nd 3.65
Nd (0.0875, 0.0875, 0.7375)  1 Dy 3.33, 6 Nd 3.57, 3 Pr 3.65
Nd (0.9125, 0.9125, 0.2625)  1 Dy 3.33, 6 Nd 3.57, 3 Pr 3.65
Dy (0.0000, 0.0000, 0.0000)  2 Nd 3.33, 6 Dy 3.57

Its energy above the most stable polymorph in this dataset is 0.173 eV per atom. The total energy comes out at -4.54 eV per atom. The value obtained for the density of states at the Fermi level is 7.04 states/eV/cell. As for the crystal system: trigonal. As for the formation energy: 0.19 eV per atom.